The following is a DFT calculation (PBE) of a relaxed Al2TcBr crystal.

Computed properties:
Size of the total moment, Bohr magnetons per cell: 0.00
Space group: I-4m2, No. 119
E above lowest polymorph, meV/atom: 766

Lattice parameters (Å, degrees): 4.776 4.776 4.776 127.15 127.15 78.01
Fractional positions:
Al: 0.000 0.000 0.000
Al: 0.750 0.250 0.500
Tc: 0.500 0.500 0.000
Br: 0.250 0.750 0.500